Here is a geometry-optimized Rb3AlI6 structure from the Alexandria database. Energies are from GGA-PBE.

Calculated values
SG = No. 148
Magnetization = 0.0 μB/f.u.
Formation energy (no corrections) = -1.109 eV per atom

abc: 10.0564 10.0564 10.0564
angles: 90.10 90.10 90.10
Element x y z (fractional)
I 0.9154 0.7413 0.0641
I 0.0641 0.9154 0.7413
I 0.2312 0.5481 0.4420
I 0.0846 0.2587 0.9359
I 0.5580 0.7688 0.4519
I 0.9359 0.0846 0.2587
I 0.2587 0.9359 0.0846
I 0.7688 0.4519 0.5580
I 0.4420 0.2312 0.5481
I 0.7413 0.0641 0.9154
I 0.4519 0.5580 0.7688
I 0.5481 0.4420 0.2312
Al 0.5000 0.5000 0.5000
Al 0.0000 0.0000 0.0000
Rb 0.4345 0.9255 0.7584
Rb 0.9255 0.7584 0.4345
Rb 0.5655 0.0745 0.2416
Rb 0.7584 0.4345 0.9255
Rb 0.2416 0.5655 0.0745
Rb 0.0745 0.2416 0.5655

---

Here is a geometry-optimized Sr2MnIr structure from the Alexandria database. Energies are from GGA-PBE.

Calculated values
SG = No. 38
Magnetization = 4.3 μB/f.u.
Energy relative to the elements = 0.031 eV/atom

abc: 4.2529 4.6929 6.2709
angles: 68.04 90.00 90.00
Each line ends with the local moment (μB).
Element x y z (fractional)
Ir 0.0000 0.6789 0.5175  0.27
Mn 0.5000 0.5724 0.7298  3.60
Sr 0.5000 0.2644 0.3462  0.01
Sr 0.0000 0.9842 0.9065  -0.01

---

Here is a geometry-optimized ZrMoI2 structure from the Alexandria database. Energies are from GGA-PBE.

Calculated values
SG = No. 225
Magnetization = 2.3 μB/f.u.
Formation energy (no corrections) = 0.572 eV per atom

abc: 4.9945 4.9945 4.9945
angles: 60.00 60.00 60.00
Each line ends with the local moment (μB).
Element x y z (fractional)
I 0.7500 0.7500 0.7500  0.03
I 0.2500 0.2500 0.2500  0.03
Mo 0.5000 0.5000 0.5000  1.66
Zr 0.0000 0.0000 0.0000  0.15

---

Here is a geometry-optimized Ba7Sr8 structure from the Alexandria database. Energies are from GGA-PBE.

Calculated values
SG = No. 136
Magnetization = 0.0 μB/f.u.
Energy relative to the elements = 0.044 eV/atom

abc: 7.8368 15.0804 15.0804
angles: 90.00 90.00 90.00
Element x y z (fractional)
Ba 0.0000 0.6041 0.3959
Ba 0.0000 0.0000 0.0000
Ba 0.5000 0.1041 0.1041
Ba 0.5000 0.5000 0.5000
Ba 0.5000 0.7634 0.4385
Ba 0.0000 0.0615 0.2634
Ba 0.5000 0.8959 0.8959
Ba 0.0000 0.3959 0.6041
Ba 0.0000 0.7366 0.9385
Ba 0.0000 0.2634 0.0615
Ba 0.5000 0.4385 0.7634
Ba 0.0000 0.9385 0.7366
Ba 0.5000 0.2366 0.5615
Ba 0.5000 0.5615 0.2366
Sr 0.2493 0.6857 0.6857
Sr 0.5000 0.0328 0.3710
Sr 0.2493 0.3143 0.3143
Sr 0.7493 0.1857 0.8143
Sr 0.2507 0.8143 0.1857
Sr 0.0000 0.4672 0.8710
Sr 0.5000 0.6290 0.9672
Sr 0.5000 0.9672 0.6290
Sr 0.2507 0.1857 0.8143
Sr 0.7507 0.6857 0.6857
Sr 0.5000 0.3710 0.0328
Sr 0.0000 0.5328 0.1290
Sr 0.7507 0.3143 0.3143
Sr 0.0000 0.8710 0.4672
Sr 0.0000 0.1290 0.5328
Sr 0.7493 0.8143 0.1857

---

Here is a geometry-optimized HgGe2H structure from the Alexandria database. Energies are from GGA-PBE.

Calculated values
SG = No. 225
Magnetization = 0.0 μB/f.u.
Uncorrected energy = -2.5927 eV/atom

abc: 4.6136 4.6136 4.6136
angles: 60.00 60.00 60.00
Element x y z (fractional)
H 0.0000 0.0000 0.0000
Ge 0.2500 0.2500 0.2500
Ge 0.7500 0.7500 0.7500
Hg 0.5000 0.5000 0.5000

---

Here is a geometry-optimized Al2VZn2 structure from the Alexandria database. Energies are from GGA-PBE.

Calculated values
SG = No. 127
Magnetization = 0.0 μB/f.u.
Energy relative to the elements = 0.189 eV/atom

abc: 7.1389 7.1389 2.9830
angles: 90.00 90.00 90.00
Element x y z (fractional)
V 0.5000 0.5000 0.0000
V 0.0000 0.0000 0.0000
Al 0.6390 0.1390 0.0000
Al 0.1390 0.3610 0.0000
Al 0.8610 0.6390 0.0000
Al 0.3610 0.8610 0.0000
Zn 0.6616 0.8384 0.5000
Zn 0.8384 0.3384 0.5000
Zn 0.1616 0.6616 0.5000
Zn 0.3384 0.1616 0.5000

---

Here is a geometry-optimized BeZnMo2 structure from the Alexandria database. Energies are from GGA-PBE.

Calculated values
SG = No. 225
Magnetization = 0.0 μB/f.u.
Energy relative to the elements = 0.356 eV/atom

abc: 4.2490 4.2490 4.2490
angles: 60.00 60.00 60.00
Element x y z (fractional)
Mo 0.7500 0.7500 0.7500
Mo 0.2500 0.2500 0.2500
Zn 0.5000 0.5000 0.5000
Be 0.0000 0.0000 0.0000

---

Here is a geometry-optimized Mg4ScRe2 structure from the Alexandria database. Energies are from GGA-PBE.

Calculated values
SG = No. 139
Magnetization = 0.5 μB/f.u.
Energy relative to the elements = 1.278 eV/atom

abc: 5.0947 5.0947 7.7992
angles: 70.94 70.94 90.00
Each line ends with the local moment (μB).
Element x y z (fractional)
Mg 0.2097 0.2097 0.5806  0.00
Mg 0.7903 0.7903 0.4194  0.00
Mg 0.5000 0.0000 0.0000  -0.01
Mg 0.0000 0.5000 0.0000  -0.01
Re 0.4183 0.4183 0.1633  0.31
Re 0.5817 0.5817 0.8367  0.31
Sc 0.0000 0.0000 0.0000  -0.15

---

Here is a geometry-optimized Li2Ho2NpS6 structure from the Alexandria database. Energies are from GGA-PBE.

Calculated values
SG = No. 12
Magnetization = 3.0 μB/f.u.
Formation energy (no corrections) = -1.660 eV per atom

abc: 6.8152 6.8152 6.5361
angles: 99.77 99.77 119.94
Each line ends with the local moment (μB).
Element x y z (fractional)
S 0.7560 0.7560 0.7430  0.04
S 0.4082 0.0723 0.7428  0.03
S 0.5918 0.9277 0.2572  0.03
S 0.2440 0.2440 0.2570  0.04
S 0.9277 0.5918 0.2572  0.03
S 0.0723 0.4082 0.7428  0.03
Np 0.0000 0.0000 0.5000  -3.19
Li 0.1682 0.8318 0.0000  0.00
Li 0.8318 0.1682 0.0000  0.00
Ho 0.3347 0.6653 0.5000  -0.01
Ho 0.6653 0.3347 0.5000  -0.01

---

Here is a geometry-optimized Pm3PdAu4 structure from the Alexandria database. Energies are from GGA-PBE.

Calculated values
SG = No. 12
Magnetization = 0.0 μB/f.u.
Energy relative to the elements = -0.363 eV/atom

abc: 4.0256 4.0655 13.8967
angles: 116.28 98.33 90.00
Element x y z (fractional)
Au 0.5984 0.7998 0.1969
Au 0.9019 0.7022 0.8039
Au 0.4016 0.2002 0.8031
Au 0.0981 0.2978 0.1961
Pd 0.5000 0.0000 0.0000
Pm 0.1962 0.0890 0.3924
Pm 0.0000 0.5000 0.0000
Pm 0.8038 0.9110 0.6076

---

Here is a geometry-optimized ZnRh2AuC structure from the Alexandria database. Energies are from GGA-PBE.

Calculated values
SG = No. 123
Magnetization = 0.0 μB/f.u.
Energy relative to the elements = 0.198 eV/atom

abc: 4.0344 4.3689 4.0344
angles: 90.00 90.00 90.00
Element x y z (fractional)
Zn 0.5000 0.5000 0.5000
C 0.0000 0.0000 0.0000
Au 0.0000 0.5000 0.0000
Rh 0.5000 0.0000 0.0000
Rh 0.0000 0.0000 0.5000

---

Here is a geometry-optimized Nd2ZnGa12 structure from the Alexandria database. Energies are from GGA-PBE.

Calculated values
SG = No. 125
Magnetization = 0.0 μB/f.u.
Energy relative to the elements = -0.308 eV/atom

abc: 6.2808 6.2808 15.1684
angles: 90.00 90.00 90.00
Element x y z (fractional)
Zn 0.0000 0.5000 0.0000
Zn 0.5000 0.0000 0.0000
Ga 0.7493 0.7507 0.0892
Ga 0.6702 0.8298 0.5706
Ga 0.7507 0.7493 0.9108
Ga 0.0000 0.0000 0.1805
Ga 0.7507 0.2507 0.0892
Ga 0.0000 0.0000 0.8195
Ga 0.3298 0.8298 0.4294
Ga 0.5000 0.5000 0.6563
Ga 0.2493 0.7493 0.0892
Ga 0.2507 0.2493 0.0892
Ga 0.2507 0.7507 0.9108
Ga 0.7493 0.2493 0.9108
Ga 0.1702 0.3298 0.4294
Ga 0.3298 0.1702 0.5706
Ga 0.8298 0.3298 0.5706
Ga 0.1702 0.6702 0.5706
Ga 0.5000 0.5000 0.1805
Ga 0.0000 0.0000 0.6563
Ga 0.5000 0.5000 0.8195
Ga 0.6702 0.1702 0.4294
Ga 0.2493 0.2507 0.9108
Ga 0.5000 0.5000 0.3437
Ga 0.8298 0.6702 0.4294
Ga 0.0000 0.0000 0.3437
Nd 0.0000 0.5000 0.7533
Nd 0.5000 0.0000 0.2467
Nd 0.0000 0.5000 0.2467
Nd 0.5000 0.0000 0.7533